The following is a DFT calculation (PBEsol) of an optimized crystal structure of ErAlGe.

a b c (Å): 4.0080 5.4727 5.6669
angles (deg): 90.00 90.00 111.48
Closest atoms and distances in Å follow each position.
Atoms (fractional coordinates):
Er: 0.3092 0.6183 0.2500  5 Ge 2.87-3.03, 4 Al 3.13
Al: 0.0000 0.0000 0.0000  4 Ge 2.68, 2 Al 2.83
Al: 0.0000 0.0000 0.5000  4 Ge 2.68, 2 Al 2.83
Ge: 0.3931 0.7862 0.7500  4 Al 2.68, 4 Er 2.87-2.96
Er: 0.6908 0.3817 0.7500  5 Ge 2.87-3.03, 4 Al 3.13
Ge: 0.6069 0.2138 0.2500  4 Al 2.68, 4 Er 2.87-2.96

Values from the calculation:
The value obtained for the size of the total moment is 0.000 μB/atom. The value obtained for the density is 7.66 g/cm³. For the density of states at the Fermi level, the calculation gives 0.29 states/eV per atom. Its symmetry is No. 63. For the formation energy, the calculation gives -693 meV per atom.